Density functional theory data (PBE) for an optimized crystal structure of Zr4Ta2Fe3C3.

Values from the calculation:
Total magnetization   0.2702 μB per atom
Uncorrected energy   -9.354 eV/atom

```
Zr4Ta2Fe3C3
1.0
4.773 -2.759 0.000
4.773 2.759 0.000
-3.288 0.000 13.463
C Fe Ta Zr
6 6 4 8
direct
0.000 0.500 0.000
0.345 0.809 0.000
0.191 0.655 0.500
0.500 0.000 0.500
0.809 0.345 0.500
0.655 0.191 0.000
0.905 0.581 0.249
0.917 0.083 0.250
0.419 0.095 0.251
0.581 0.905 0.749
0.083 0.917 0.750
0.095 0.419 0.751
0.365 0.533 0.097
0.467 0.635 0.403
0.533 0.365 0.597
0.635 0.467 0.903
0.038 0.197 0.098
0.701 0.870 0.098
0.130 0.299 0.402
0.803 0.962 0.402
0.197 0.038 0.598
0.870 0.701 0.598
0.299 0.130 0.902
0.962 0.803 0.902
```


Density functional theory data (PBE) for an optimized crystal structure of KAlCoS3.

Values from the calculation:
Total magnetization   0.0030 μB per atom
Energy relative to the lowest polymorph listed for this composition   0 meV per atom
Uncorrected energy   -4.914 eV/atom

```
KAlCoS3
1.0
8.370 0.000 0.000
0.000 3.513 0.000
-2.971 0.000 8.775
Al Co K S
2 2 2 6
direct
0.844 0.750 0.388
0.156 0.250 0.612
0.580 0.250 0.092
0.420 0.750 0.908
0.302 0.750 0.268
0.698 0.250 0.732
0.691 0.750 0.029
0.026 0.250 0.347
0.643 0.250 0.355
0.357 0.750 0.645
0.974 0.750 0.653
0.309 0.250 0.971
```